[1]
This record from Alexandria describes a geometry-optimized BaHf3S structure. The functional is PBE.

Geometry as extended XYZ:
```
5
Lattice="5.0190 0.0000 0.0000 0.0000 5.0190 0.0000 0.0000 0.0000 5.0190" Properties=species:S:1:pos:R:3 pbc="T T T"
Ba 0.0000 0.0000 0.0000
Hf 0.0000 2.5095 2.5095
Hf 2.5095 0.0000 2.5095
Hf 2.5095 2.5095 0.0000
S 2.5095 2.5095 2.5095
```

Calculated total energy = -7.2115 eV per atom
SG = Pm-3m (221)
V = 25.3 A^3/atom
N(E_F) = 0.756 states/eV per atom
Relative energy among the computed polymorphs = 0.00 eV per formula unit

***

[2]
This record from Alexandria describes a geometry-optimized Ba2HfS4 structure. The functional is PBE.

Geometry as extended XYZ:
```
14
Lattice="4.9671 0.0000 0.0000 0.0000 4.9671 0.0000 0.0000 0.0000 15.8640" Properties=species:S:1:pos:R:3 pbc="T T T"
Ba 0.0000 0.0000 2.2567
Ba 0.0000 0.0000 13.6073
Ba 2.4835 2.4835 5.6753
Ba 2.4835 2.4835 10.1888
Hf 0.0000 0.0000 7.9320
Hf 2.4835 2.4835 0.0000
S 0.0000 0.0000 5.3637
S 0.0000 0.0000 10.5004
S 0.0000 2.4835 0.0000
S 0.0000 2.4835 7.9320
S 2.4835 0.0000 0.0000
S 2.4835 0.0000 7.9320
S 2.4835 2.4835 2.5684
S 2.4835 2.4835 13.2957
```

Calculated total energy = -6.2554 eV per atom
SG = I4/mmm (139)
V = 28.0 A^3/atom
Relative energy among the computed polymorphs = 0.00 eV per formula unit

***

[3]
This record from Alexandria describes a geometry-optimized BaHf4S8 structure. The functional is PBE.

Geometry as extended XYZ:
```
13
Lattice="3.6140 2.0865 7.6724 -3.6140 2.0865 7.6724 0.0000 -4.1731 7.6724" Properties=species:S:1:pos:R:3 pbc="T T T"
Ba 0.0000 0.0000 0.0000
Hf -3.6140 0.0000 11.5086
Hf -1.8070 1.0433 3.8362
Hf 1.8070 1.0433 3.8362
Hf 0.0000 0.0000 11.5086
S 0.0000 0.0000 5.3084
S -1.7906 -1.0338 13.0112
S 0.0000 -2.0676 10.0060
S -1.7906 1.0338 10.0060
S 1.7906 -1.0338 13.0112
S 0.0000 2.0676 13.0112
S 1.7906 1.0338 10.0060
S 0.0000 0.0000 17.7087
```

Calculated total energy = -7.4599 eV per atom
SG = R-3m (166)
V = 26.7 A^3/atom
N(E_F) = 0.415 states/eV per atom
Relative energy among the computed polymorphs = 0.00 eV per formula unit

***

[4]
This record from Alexandria describes a geometry-optimized Ba5HfS8 structure. The functional is PBE.

Geometry as extended XYZ:
```
14
Lattice="-4.5790 4.5790 4.5319 4.5790 -4.5790 4.5319 4.5790 4.5790 -4.5319" Properties=species:S:1:pos:R:3 pbc="T T T"
Ba 0.0000 0.0000 0.0000
Ba 2.1920 -1.1009 3.3252
Ba 3.4781 2.3869 1.2067
Ba 2.3869 5.6798 -1.2067
Ba 1.1009 2.1920 5.7386
Hf 0.0000 4.5790 2.2659
S 5.8819 0.5077 0.0820
S 3.8657 2.6722 -1.8968
S 0.5077 3.2760 -0.0820
S 0.7132 1.9067 2.6351
S 1.9067 -0.7132 6.4287
S 4.0713 1.3029 4.4498
S 2.6722 5.2922 1.8968
S -1.3029 4.0713 4.6139
```

Calculated total energy = -5.3970 eV per atom
SG = I-4 (82)
V = 27.1 A^3/atom
N(E_F) = 0.141 states/eV per atom

***

[5]
This record from Alexandria describes a geometry-optimized Ba3HfS structure. The functional is PBE.

Geometry as extended XYZ:
```
5
Lattice="6.0956 0.0000 0.0000 0.0000 6.0956 0.0000 0.0000 0.0000 6.0956" Properties=species:S:1:pos:R:3 pbc="T T T"
Ba 0.0000 0.0000 3.0478
Ba 0.0000 3.0478 0.0000
Ba 3.0478 0.0000 0.0000
Hf 3.0478 3.0478 3.0478
S 0.0000 0.0000 0.0000
```

Calculated total energy = -4.0859 eV per atom
SG = Pm-3m (221)
V = 45.3 A^3/atom
N(E_F) = 2.625 states/eV per atom
Relative energy among the computed polymorphs = 0.00 eV per formula unit

***

[6]
This record from Alexandria describes a geometry-optimized BaHfS4 structure. The functional is PBE.

Geometry as extended XYZ:
```
12
Lattice="6.8693 -3.5335 0.0000 6.8693 3.5335 0.0000 -0.7966 0.0000 6.6478" Properties=species:S:1:pos:R:3 pbc="T T T"
Ba 2.4021 0.0000 1.3406
Ba 10.5399 0.0000 5.3072
Hf 5.5927 0.0000 4.9357
Hf 7.3493 0.0000 1.7121
S 5.4448 1.7709 3.0867
S 6.8693 1.7663 0.0000
S 3.1942 0.0000 5.1048
S 7.4972 1.7709 3.5611
S 5.4448 -1.7709 3.0867
S 9.7478 0.0000 1.5430
S 6.8693 -1.7663 0.0000
S 7.4972 -1.7709 3.5611
```

Calculated total energy = -6.1093 eV per atom
SG = C2/m (12)
V = 26.9 A^3/atom
Relative energy among the computed polymorphs = 0.00 eV per formula unit

***

[7]
This record from Alexandria describes a geometry-optimized Ba2Hf3S8 structure. The functional is PBE.

Geometry as extended XYZ:
```
13
Lattice="7.5046 -3.8239 0.0000 7.5046 3.8239 0.0000 -2.0491 0.0000 6.2566" Properties=species:S:1:pos:R:3 pbc="T T T"
Ba 3.1928 0.0000 1.0811
Ba 9.7673 0.0000 5.1755
Hf 6.4800 1.9989 3.1283
Hf 7.5046 0.0000 0.0000
Hf 6.4800 -1.9989 3.1283
S 0.6631 0.0000 2.9033
S 5.8009 1.7568 0.6835
S 7.1592 1.7568 5.5730
S 4.8098 0.0000 3.7761
S 8.1503 0.0000 2.4805
S 5.8009 -1.7568 0.6835
S 7.1592 -1.7568 5.5730
S 12.2969 0.0000 3.3533
```

Calculated total energy = -6.8942 eV per atom
SG = C2/m (12)
V = 27.6 A^3/atom
N(E_F) = 0.000 states/eV per atom

***

[8]
This record from Alexandria describes a geometry-optimized Ba4Hf3S10 structure. The functional is PBE.

Geometry as extended XYZ:
```
17
Lattice="-2.5017 2.5017 17.8670 2.5017 -2.5017 17.8670 2.5017 2.5017 -17.8670" Properties=species:S:1:pos:R:3 pbc="T T T"
Ba 0.0000 0.0000 2.4151
Ba 0.0000 0.0000 7.1453
Ba 0.0000 0.0000 28.5886
Ba 0.0000 0.0000 33.3188
Hf 0.0000 0.0000 12.7759
Hf 0.0000 0.0000 17.8670
Hf 0.0000 0.0000 22.9580
S 2.5017 0.0000 0.0000
S 2.5017 0.0000 4.9656
S 0.0000 0.0000 10.2845
S 2.5017 0.0000 12.9013
S 0.0000 0.0000 15.3571
S 0.0000 2.5017 0.0000
S 0.0000 0.0000 20.3768
S 0.0000 2.5017 4.9656
S 0.0000 0.0000 25.4494
S 0.0000 2.5017 12.9013
```

Calculated total energy = -6.5049 eV per atom
SG = I4/mmm (139)
V = 26.3 A^3/atom

***

Q: Which of these has the highest V?
A: Ba3HfS